Entry from the Alexandria database: crystalline La2Co3P4Ir at its relaxed geometry (PBE).

Values from the calculation:
The value obtained for the calculated formation energy is -0.99 eV per atom. The calculation puts the density of states at the Fermi level at 5.8 states/eV/f.u.

Cell lengths 4.069, 4.069, 9.384 Å; angles 90.00, 90.00, 90.00 degrees
Fractional positions:
La 0.000 0.500 0.238
La 0.500 0.000 0.762
Co 0.000 0.500 0.892
Co 0.500 0.000 0.108
Co 0.500 0.500 0.500
P 0.000 0.000 0.000
P 0.000 0.500 0.640
P 0.500 0.000 0.360
P 0.500 0.500 0.000
Ir 0.000 0.000 0.500

Entry from the Alexandria database: crystalline La2CoP3Ir4 at its relaxed geometry (PBE).

Values from the calculation:
The value obtained for the calculated formation energy is -0.86 eV per atom. The calculation puts the density of states at the Fermi level at 5.5 states/eV/f.u.

Cell lengths 4.154, 4.154, 9.916 Å; angles 90.00, 90.00, 90.00 degrees
Fractional positions:
La 0.000 0.500 0.244
La 0.500 0.000 0.756
Co 0.500 0.500 0.000
P 0.000 0.000 0.000
P 0.000 0.500 0.637
P 0.500 0.000 0.363
Ir 0.000 0.000 0.500
Ir 0.000 0.500 0.875
Ir 0.500 0.000 0.125
Ir 0.500 0.500 0.500

Entry from the Alexandria database: crystalline La2CoP4Ir3 at its relaxed geometry (PBE).

Values from the calculation:
The value obtained for the calculated formation energy is -1.00 eV per atom. The calculation puts the density of states at the Fermi level at 5.3 states/eV/f.u.

Cell lengths 4.222, 4.222, 9.500 Å; angles 90.00, 90.00, 90.00 degrees
Fractional positions:
La 0.000 0.500 0.245
La 0.500 0.000 0.755
Co 0.000 0.000 0.500
P 0.000 0.000 0.000
P 0.000 0.500 0.629
P 0.500 0.000 0.371
P 0.500 0.500 0.000
Ir 0.000 0.500 0.887
Ir 0.500 0.000 0.113
Ir 0.500 0.500 0.500

Entry from the Alexandria database: crystalline La8CoIrPd2 at its relaxed geometry (PBE).

Values from the calculation:
The value obtained for the calculated formation energy is -0.40 eV per atom. The calculation puts the density of states at the Fermi level at 12.4 states/eV/f.u.

Cell lengths 6.696, 8.477, 6.978 Å; angles 90.00, 91.84, 90.00 degrees
Fractional positions:
La 0.138 0.000 0.259
La 0.146 0.500 0.262
La 0.358 0.259 0.725
La 0.358 0.741 0.725
La 0.642 0.259 0.275
La 0.642 0.741 0.275
La 0.854 0.500 0.738
La 0.862 0.000 0.741
Co 0.500 0.500 0.500
Ir 0.500 0.000 0.500
Pd 0.000 0.252 0.000
Pd 0.000 0.748 0.000

Entry from the Alexandria database: crystalline LaPmCoIr at its relaxed geometry (PBE).

Values from the calculation:
The value obtained for the calculated formation energy is -0.30 eV per atom. The calculation puts the density of states at the Fermi level at 1.3 states/eV/f.u.

Cell lengths 7.060, 7.060, 7.060 Å; angles 90.00, 90.00, 90.00 degrees
Fractional positions:
La 0.000 0.000 0.000
La 0.000 0.500 0.500
La 0.500 0.000 0.500
La 0.500 0.500 0.000
Pm 0.000 0.000 0.500
Pm 0.000 0.500 0.000
Pm 0.500 0.000 0.000
Pm 0.500 0.500 0.500
Co 0.250 0.250 0.750
Co 0.250 0.750 0.250
Co 0.750 0.250 0.250
Co 0.750 0.750 0.750
Ir 0.250 0.250 0.250
Ir 0.250 0.750 0.750
Ir 0.750 0.250 0.750
Ir 0.750 0.750 0.250

Entry from the Alexandria database: crystalline LaPrCoIr at its relaxed geometry (PBE).

Values from the calculation:
The value obtained for the calculated formation energy is -0.26 eV per atom. The calculation puts the density of states at the Fermi level at 1.4 states/eV/f.u.

Cell lengths 7.115, 7.115, 7.115 Å; angles 90.00, 90.00, 90.00 degrees
Fractional positions:
La 0.000 0.000 0.000
La 0.000 0.500 0.500
La 0.500 0.000 0.500
La 0.500 0.500 0.000
Pr 0.000 0.000 0.500
Pr 0.000 0.500 0.000
Pr 0.500 0.000 0.000
Pr 0.500 0.500 0.500
Co 0.250 0.250 0.750
Co 0.250 0.750 0.250
Co 0.750 0.250 0.250
Co 0.750 0.750 0.750
Ir 0.250 0.250 0.250
Ir 0.250 0.750 0.750
Ir 0.750 0.250 0.750
Ir 0.750 0.750 0.250

Entry from the Alexandria database: crystalline La6CoIrPt2 at its relaxed geometry (PBE).

Values from the calculation:
The value obtained for the calculated formation energy is -0.66 eV per atom. The calculation puts the density of states at the Fermi level at 7.7 states/eV/f.u.

Cell lengths 7.279, 7.279, 7.889 Å; angles 117.47, 90.04, 119.94 degrees
Fractional positions:
La 0.000 0.000 0.000
La 0.140 0.999 0.505
La 0.340 0.707 0.001
La 0.492 0.706 0.505
La 0.634 0.341 0.001
La 0.847 0.353 0.504
Co 0.238 0.841 0.738
Ir 0.738 0.843 0.241
Pt 0.418 0.203 0.281
Pt 0.917 0.201 0.776

Entry from the Alexandria database: crystalline La6CoIr2Pt at its relaxed geometry (PBE).

Values from the calculation:
The value obtained for the calculated formation energy is -0.60 eV per atom. The calculation puts the density of states at the Fermi level at 5.7 states/eV/f.u.

Cell lengths 7.827, 7.827, 7.827 Å; angles 54.84, 54.84, 54.84 degrees
Fractional positions:
La 0.006 0.322 0.672
La 0.157 0.840 0.492
La 0.322 0.672 0.006
La 0.492 0.157 0.840
La 0.672 0.006 0.322
La 0.840 0.492 0.157
Co 0.086 0.086 0.086
Ir 0.249 0.249 0.249
Ir 0.745 0.745 0.745
Pt 0.583 0.583 0.583